The following is a DFT calculation (PBE) of La4Tb4Pm after structural relaxation.

```
La4Tb4Pm
1.0
-2.187 -2.382 4.056
3.123 -7.523 0.583
4.521 1.496 6.634
La Tb Pm
4 4 1
direct
0.669 0.331 0.331
0.331 0.669 0.669
0.000 0.669 0.331
0.000 0.331 0.669
0.665 0.670 0.000
0.335 0.330 0.000
0.665 0.000 0.670
0.335 0.000 0.330
0.000 0.000 0.000
```

* offset from the most stable computed form: 0 meV/atom
* magnetic moment: 0.0 Bohr magnetons per cell
* calculated density: 7134 kg/m³
* space group: I4/mmm